(1)
A geometry-optimized ZnCu2Rh structure, computed with GGA-PBEsol.

a = 2.7878 Å, b = 4.2804 Å, c = 4.7734 Å
α = 113.34°, β = 106.98°, γ = 90.00°
Positions (direct):
Cu1 0.7439 0.1912 0.4877
Rh1 0.5011 0.5511 0.0021
Cu2 0.9995 0.0538 0.9990
Zn1 0.2555 0.7039 0.5111

DOS(E_F) ... 2.10 states/eV/f.u.
Space-group type ... Cm
Magnetization ... 0.00 μB/cell
DFT formation energy ... -0.36 eV/f.u.

(2)
A geometry-optimized CsMgSe2 structure, computed with GGA-PBEsol.

a = 6.1814 Å, b = 6.1814 Å, c = 8.9376 Å
α = 110.23°, β = 110.23°, γ = 90.00°
Positions (direct):
Se1 0.6250 0.3750 0.2500
Se2 0.1250 0.3750 0.7500
Cs1 0.0000 0.0000 0.0000
Se3 0.6250 0.8750 0.2500
Mg1 0.7500 0.2500 0.5000
Se4 0.6250 0.3750 0.7500
Mg2 0.5000 0.5000 0.0000
Cs2 0.2500 0.7500 0.5000

DOS(E_F) ... 1.43 states/eV/f.u.
Space-group type ... I4_1/amd
Energy relative to the elements, uncorrected ... -3.7 eV/f.u.
Magnetization ... 0.00 μB/cell

(3)
A geometry-optimized HgIr2Os structure, computed with GGA-PBEsol.

a = 3.9285 Å, b = 3.9285 Å, c = 4.8202 Å
α = 114.05°, β = 114.05°, γ = 90.00°
Positions (direct):
Os1 0.5000 0.5000 0.0000
Ir1 0.0000 0.0000 0.0000
Ir2 0.7500 0.2500 0.5000
Hg1 0.2500 0.7500 0.5000

DOS(E_F) ... 4.37 states/eV/f.u.
Space-group type ... I-4m2
Magnetization ... 0.00 μB/cell
DFT formation energy ... 2.39 eV/f.u.

(4)
A geometry-optimized AlFeHg2 structure, computed with GGA-PBEsol.

a = 4.0151 Å, b = 4.0151 Å, c = 5.0267 Å
α = 113.54°, β = 113.54°, γ = 90.00°
Site moments in Bohr magnetons follow the coordinates.
Positions (direct):
Al1 0.5000 0.5000 0.0000  -0.04
Fe1 0.0000 0.0000 0.0000  2.12
Hg1 0.7500 0.2500 0.5000  -0.06
Hg2 0.2500 0.7500 0.5000  -0.06

DOS(E_F) ... 3.96 states/eV/f.u.
Space-group type ... I4/mmm
Magnetization ... 1.85 μB/cell
DFT formation energy ... 1.23 eV/f.u.

(5)
A geometry-optimized DySi2Ag2 structure, computed with GGA-PBEsol.

a = 4.0892 Å, b = 4.0892 Å, c = 6.0454 Å
α = 109.77°, β = 109.77°, γ = 90.00°
Positions (direct):
Ag1 0.7500 0.2500 0.5000
Si1 0.3927 0.3927 0.7855
Si2 0.6073 0.6073 0.2145
Dy1 0.0000 0.0000 0.0000
Ag2 0.2500 0.7500 0.5000

DOS(E_F) ... 1.11 states/eV/f.u.
Space-group type ... I4/mmm
Energy relative to the elements, uncorrected ... -2.4 eV/f.u.
Magnetization ... 0.00 μB/cell

(6)
A geometry-optimized Si2AgPt structure, computed with GGA-PBEsol.

a = 2.8935 Å, b = 2.8935 Å, c = 7.3395 Å
α = 90.00°, β = 90.00°, γ = 90.00°
Positions (direct):
Si1 0.0000 0.0000 0.2747
Si2 0.0000 0.0000 0.7253
Ag1 0.5000 0.5000 0.0000
Pt1 0.5000 0.5000 0.5000

DOS(E_F) ... 1.65 states/eV/f.u.
Space-group type ... P4/mmm
Energy relative to the elements, uncorrected ... 0.0 eV/f.u.
Magnetization ... 0.00 μB/cell
Relative energy among the computed polymorphs ... 176.8 meV/atom